Entry 1:
DFT (PBE-GGA) results for crystalline RbErCuS3 at its relaxed geometry.

Summary:
Final energy in eV/atom: -4.94
Raw formation energy in eV/atom: -1.269
N(E_F) in states/eV/f.u.: 4.26

```
data_RbErCuS3
_chemical_formula_sum 'Rb2 Er2 Cu2 S6'
_cell_length_a 8.9780
_cell_length_b 3.9506
_cell_length_c 9.4930
_cell_angle_alpha 90.00
_cell_angle_beta 109.61
_cell_angle_gamma 90.00
_space_group_name_H-M_alt 'P 1'
_space_group_IT_number 1
_space_group_name_Hall 'P 1'
loop_
_atom_site_label
_atom_site_type_symbol
_atom_site_fract_x
_atom_site_fract_y
_atom_site_fract_z
Rb1 Rb 0.2069 0.2500 0.2392
Rb2 Rb 0.7931 0.7500 0.7608
Er1 Er 0.3295 0.7500 0.8590
Er2 Er 0.6705 0.2500 0.1410
Cu1 Cu 0.0819 0.2500 0.6077
Cu2 Cu 0.9181 0.7500 0.3923
S1 S 0.1222 0.2500 0.8591
S2 S 0.1807 0.7500 0.5460
S3 S 0.4690 0.7500 0.1578
S4 S 0.5310 0.2500 0.8422
S5 S 0.8193 0.2500 0.4540
S6 S 0.8778 0.7500 0.1409
```

Entry 2:
DFT (PBE-GGA) results for crystalline Tm4Ga3Pb at its relaxed geometry.

Summary:
Final energy in eV/atom: -4.39
DFT formation energy in meV per atom: -552
N(E_F) in states/eV/f.u.: 6.38

```
data_Tm4Ga3Pb
_chemical_formula_sum 'Tm4 Ga3 Pb1'
_cell_length_a 4.0949
_cell_length_b 4.3637
_cell_length_c 10.8967
_cell_angle_alpha 90.00
_cell_angle_beta 90.00
_cell_angle_gamma 90.00
_space_group_name_H-M_alt 'P 1'
_space_group_IT_number 1
_space_group_name_Hall 'P 1'
loop_
_atom_site_label
_atom_site_type_symbol
_atom_site_fract_x
_atom_site_fract_y
_atom_site_fract_z
Tm1 Tm 0.0000 0.0000 0.0000
Tm2 Tm 0.0000 0.5000 0.4795
Tm3 Tm 0.5000 0.0000 0.7053
Tm4 Tm 0.5000 0.5000 0.2172
Ga1 Ga 0.0000 0.0000 0.2752
Ga2 Ga 0.5000 0.0000 0.4298
Ga3 Ga 0.5000 0.5000 0.9482
Pb1 Pb 0.0000 0.5000 0.7691
```

Entry 3:
DFT (PBE-GGA) results for crystalline Ce4Ru5 at its relaxed geometry.

Summary:
Final energy in eV/atom: -8.10
DFT formation energy in meV per atom: -310
N(E_F) in states/eV/f.u.: 10.99

```
data_Ce4Ru5
_chemical_formula_sum 'Ce4 Ru5'
_cell_length_a 7.0096
_cell_length_b 7.0096
_cell_length_c 7.0096
_cell_angle_alpha 95.87
_cell_angle_beta 95.87
_cell_angle_gamma 142.69
_space_group_name_H-M_alt 'P 1'
_space_group_IT_number 1
_space_group_name_Hall 'P 1'
loop_
_atom_site_label
_atom_site_type_symbol
_atom_site_fract_x
_atom_site_fract_y
_atom_site_fract_z
Ce1 Ce 0.1090 0.7195 0.8285
Ce2 Ce 0.2805 0.1090 0.3896
Ce3 Ce 0.7195 0.8910 0.6104
Ce4 Ce 0.8910 0.2805 0.1715
Ru1 Ru 0.0000 0.0000 0.0000
Ru2 Ru 0.3059 0.5753 0.8812
Ru3 Ru 0.4247 0.3059 0.7306
Ru4 Ru 0.5753 0.6941 0.2694
Ru5 Ru 0.6941 0.4247 0.1188
```

Entry 4:
DFT (PBE-GGA) results for crystalline ScReAu2 at its relaxed geometry.

Summary:
Final energy in eV/atom: -6.31
DFT formation energy in meV per atom: 21
Relative energy among the computed polymorphs in meV/atom: 74.4
N(E_F) in states/eV/f.u.: 4.52

```
data_ScReAu2
_chemical_formula_sum 'Sc2 Re2 Au4'
_cell_length_a 4.0981
_cell_length_b 4.0981
_cell_length_c 8.3004
_cell_angle_alpha 90.00
_cell_angle_beta 90.00
_cell_angle_gamma 90.00
_space_group_name_H-M_alt 'P 1'
_space_group_IT_number 1
_space_group_name_Hall 'P 1'
loop_
_atom_site_label
_atom_site_type_symbol
_atom_site_fract_x
_atom_site_fract_y
_atom_site_fract_z
Sc1 Sc 0.0000 0.0000 0.0000
Sc2 Sc 0.5000 0.5000 0.5000
Re1 Re 0.0000 0.0000 0.5000
Re2 Re 0.5000 0.5000 0.0000
Au1 Au 0.0000 0.5000 0.2500
Au2 Au 0.0000 0.5000 0.7500
Au3 Au 0.5000 0.0000 0.2500
Au4 Au 0.5000 0.0000 0.7500
```

Entry 5:
DFT (PBE-GGA) results for crystalline KCa2Cu at its relaxed geometry.

Summary:
Final energy in eV/atom: -1.88
DFT formation energy in meV per atom: 418
Relative energy among the computed polymorphs in meV/atom: 371.7
N(E_F) in states/eV/f.u.: 2.87

```
data_KCa2Cu
_chemical_formula_sum 'K4 Ca8 Cu4'
_cell_length_a 8.2922
_cell_length_b 8.2922
_cell_length_c 8.2922
_cell_angle_alpha 90.00
_cell_angle_beta 90.00
_cell_angle_gamma 90.00
_space_group_name_H-M_alt 'P 1'
_space_group_IT_number 1
_space_group_name_Hall 'P 1'
loop_
_atom_site_label
_atom_site_type_symbol
_atom_site_fract_x
_atom_site_fract_y
_atom_site_fract_z
K1 K 0.0000 0.0000 0.0000
K2 K 0.0000 0.5000 0.5000
K3 K 0.5000 0.0000 0.5000
K4 K 0.5000 0.5000 0.0000
Ca1 Ca 0.0000 0.0000 0.5000
Ca2 Ca 0.0000 0.5000 0.0000
Ca3 Ca 0.2500 0.2500 0.2500
Ca4 Ca 0.2500 0.7500 0.7500
Ca5 Ca 0.5000 0.0000 0.0000
Ca6 Ca 0.5000 0.5000 0.5000
Ca7 Ca 0.7500 0.2500 0.7500
Ca8 Ca 0.7500 0.7500 0.2500
Cu1 Cu 0.2500 0.2500 0.7500
Cu2 Cu 0.2500 0.7500 0.2500
Cu3 Cu 0.7500 0.2500 0.2500
Cu4 Cu 0.7500 0.7500 0.7500
```

Entry 6:
DFT (PBE-GGA) results for crystalline CaY at its relaxed geometry.

Summary:
Final energy in eV/atom: -2.49
DFT formation energy in meV per atom: 1740
Relative energy among the computed polymorphs in meV/atom: 1692.2
N(E_F) in states/eV/f.u.: 5.71

```
data_CaY
_chemical_formula_sum 'Ca4 Y4'
_cell_length_a 7.9000
_cell_length_b 7.9000
_cell_length_c 7.9000
_cell_angle_alpha 90.00
_cell_angle_beta 90.00
_cell_angle_gamma 90.00
_space_group_name_H-M_alt 'P 1'
_space_group_IT_number 1
_space_group_name_Hall 'P 1'
loop_
_atom_site_label
_atom_site_type_symbol
_atom_site_fract_x
_atom_site_fract_y
_atom_site_fract_z
Ca1 Ca 0.0000 0.0000 0.0000
Ca2 Ca 0.0000 0.5000 0.5000
Ca3 Ca 0.5000 0.0000 0.5000
Ca4 Ca 0.5000 0.5000 0.0000
Y1 Y 0.2500 0.2500 0.7500
Y2 Y 0.2500 0.7500 0.2500
Y3 Y 0.7500 0.2500 0.2500
Y4 Y 0.7500 0.7500 0.7500
```

Entry 7:
DFT (PBE-GGA) results for crystalline YCrNi3 at its relaxed geometry.

Summary:
Final energy in eV/atom: -5.30
DFT formation energy in meV per atom: 1389
Relative energy among the computed polymorphs in meV/atom: 1035.1
N(E_F) in states/eV/f.u.: 3.45

```
data_YCrNi3
_chemical_formula_sum 'Y1 Cr1 Ni3'
_cell_length_a 4.6597
_cell_length_b 4.6597
_cell_length_c 4.6597
_cell_angle_alpha 90.00
_cell_angle_beta 90.00
_cell_angle_gamma 90.00
_space_group_name_H-M_alt 'P 1'
_space_group_IT_number 1
_space_group_name_Hall 'P 1'
loop_
_atom_site_label
_atom_site_type_symbol
_atom_site_fract_x
_atom_site_fract_y
_atom_site_fract_z
Y1 Y 0.0000 0.0000 0.0000
Cr1 Cr 0.5000 0.5000 0.5000
Ni1 Ni 0.0000 0.0000 0.5000
Ni2 Ni 0.0000 0.5000 0.0000
Ni3 Ni 0.5000 0.0000 0.0000
```

Entry 8:
DFT (PBE-GGA) results for crystalline PrZnGaAg at its relaxed geometry.

Summary:
Final energy in eV/atom: -3.31
DFT formation energy in meV per atom: -328
N(E_F) in states/eV/f.u.: 1.24

```
data_PrZnGaAg
_chemical_formula_sum 'Pr4 Zn4 Ga4 Ag4'
_cell_length_a 6.9226
_cell_length_b 6.9226
_cell_length_c 6.9226
_cell_angle_alpha 90.00
_cell_angle_beta 90.00
_cell_angle_gamma 90.00
_space_group_name_H-M_alt 'P 1'
_space_group_IT_number 1
_space_group_name_Hall 'P 1'
loop_
_atom_site_label
_atom_site_type_symbol
_atom_site_fract_x
_atom_site_fract_y
_atom_site_fract_z
Pr1 Pr 0.0000 0.0000 0.0000
Pr2 Pr 0.0000 0.5000 0.5000
Pr3 Pr 0.5000 0.0000 0.5000
Pr4 Pr 0.5000 0.5000 0.0000
Zn1 Zn 0.2500 0.2500 0.7500
Zn2 Zn 0.2500 0.7500 0.2500
Zn3 Zn 0.7500 0.2500 0.2500
Zn4 Zn 0.7500 0.7500 0.7500
Ga1 Ga 0.2500 0.2500 0.2500
Ga2 Ga 0.2500 0.7500 0.7500
Ga3 Ga 0.7500 0.2500 0.7500
Ga4 Ga 0.7500 0.7500 0.2500
Ag1 Ag 0.0000 0.0000 0.5000
Ag2 Ag 0.0000 0.5000 0.0000
Ag3 Ag 0.5000 0.0000 0.0000
Ag4 Ag 0.5000 0.5000 0.5000
```

Entry 9:
DFT (PBE-GGA) results for crystalline K2CuMo at its relaxed geometry.

Summary:
Final energy in eV/atom: -3.36
DFT formation energy in meV per atom: 918
Relative energy among the computed polymorphs in meV/atom: 51.6
N(E_F) in states/eV/f.u.: 3.87

```
data_K2CuMo
_chemical_formula_sum 'K4 Cu2 Mo2'
_cell_length_a 20.5922
_cell_length_b 2.9172
_cell_length_c 4.3913
_cell_angle_alpha 90.00
_cell_angle_beta 102.22
_cell_angle_gamma 90.00
_space_group_name_H-M_alt 'P 1'
_space_group_IT_number 1
_space_group_name_Hall 'P 1'
loop_
_atom_site_label
_atom_site_type_symbol
_atom_site_fract_x
_atom_site_fract_y
_atom_site_fract_z
K1 K 0.1441 0.0000 0.1419
K2 K 0.3559 0.5000 0.8581
K3 K 0.6441 0.5000 0.1419
K4 K 0.8559 0.0000 0.8581
Cu1 Cu 0.0000 0.5000 0.0000
Cu2 Cu 0.5000 0.0000 0.0000
Mo1 Mo 0.0000 0.0000 0.5000
Mo2 Mo 0.5000 0.5000 0.5000
```

Entry 10:
DFT (PBE-GGA) results for crystalline PuThSnAu at its relaxed geometry.

Summary:
Final energy in eV/atom: -7.66
DFT formation energy in meV per atom: -407
Relative energy among the computed polymorphs in meV/atom: 8.1
N(E_F) in states/eV/f.u.: 10.35

```
data_PuThSnAu
_chemical_formula_sum 'Pu1 Th1 Sn1 Au1'
_cell_length_a 4.0118
_cell_length_b 4.0118
_cell_length_c 6.4723
_cell_angle_alpha 90.00
_cell_angle_beta 90.00
_cell_angle_gamma 90.00
_space_group_name_H-M_alt 'P 1'
_space_group_IT_number 1
_space_group_name_Hall 'P 1'
loop_
_atom_site_label
_atom_site_type_symbol
_atom_site_fract_x
_atom_site_fract_y
_atom_site_fract_z
Pu1 Pu 0.0000 0.0000 0.0000
Th1 Th 0.0000 0.0000 0.4988
Sn1 Sn 0.5000 0.5000 0.7611
Au1 Au 0.5000 0.5000 0.2541
```

Entry 11:
DFT (PBE-GGA) results for crystalline Na2Cd3Pb4 at its relaxed geometry.

Summary:
Final energy in eV/atom: -2.31
DFT formation energy in meV per atom: -63
N(E_F) in states/eV/f.u.: 3.22

```
data_Na2Cd3Pb4
_chemical_formula_sum 'Na2 Cd3 Pb4'
_cell_length_a 5.7958
_cell_length_b 5.7958
_cell_length_c 10.1270
_cell_angle_alpha 106.65
_cell_angle_beta 106.65
_cell_angle_gamma 50.19
_space_group_name_H-M_alt 'P 1'
_space_group_IT_number 1
_space_group_name_Hall 'P 1'
loop_
_atom_site_label
_atom_site_type_symbol
_atom_site_fract_x
_atom_site_fract_y
_atom_site_fract_z
Na1 Na 0.1833 0.1833 0.2325
Na2 Na 0.8167 0.8167 0.7675
Cd1 Cd 0.1565 0.1565 0.5596
Cd2 Cd 0.5000 0.5000 0.0000
Cd3 Cd 0.8435 0.8435 0.4404
Pb1 Pb 0.1581 0.1581 0.8920
Pb2 Pb 0.4748 0.4748 0.6558
Pb3 Pb 0.5252 0.5252 0.3442
Pb4 Pb 0.8419 0.8419 0.1080
```

Entry 12:
DFT (PBE-GGA) results for crystalline SrZr2Rh at its relaxed geometry.

Summary:
Final energy in eV/atom: -6.26
DFT formation energy in meV per atom: 273
Relative energy among the computed polymorphs in meV/atom: 450.2
N(E_F) in states/eV/f.u.: 6.90

```
data_SrZr2Rh
_chemical_formula_sum 'Sr4 Zr8 Rh4'
_cell_length_a 7.0211
_cell_length_b 7.0211
_cell_length_c 7.0211
_cell_angle_alpha 90.00
_cell_angle_beta 90.00
_cell_angle_gamma 90.00
_space_group_name_H-M_alt 'P 1'
_space_group_IT_number 1
_space_group_name_Hall 'P 1'
loop_
_atom_site_label
_atom_site_type_symbol
_atom_site_fract_x
_atom_site_fract_y
_atom_site_fract_z
Sr1 Sr 0.0000 0.0000 0.0000
Sr2 Sr 0.0000 0.5000 0.5000
Sr3 Sr 0.5000 0.0000 0.5000
Sr4 Sr 0.5000 0.5000 0.0000
Zr1 Zr 0.2500 0.2500 0.2500
Zr2 Zr 0.2500 0.2500 0.7500
Zr3 Zr 0.2500 0.7500 0.2500
Zr4 Zr 0.2500 0.7500 0.7500
Zr5 Zr 0.7500 0.2500 0.2500
Zr6 Zr 0.7500 0.2500 0.7500
Zr7 Zr 0.7500 0.7500 0.2500
Zr8 Zr 0.7500 0.7500 0.7500
Rh1 Rh 0.0000 0.0000 0.5000
Rh2 Rh 0.0000 0.5000 0.0000
Rh3 Rh 0.5000 0.0000 0.0000
Rh4 Rh 0.5000 0.5000 0.5000
```

Entry 13:
DFT (PBE-GGA) results for crystalline Sr2NdTmSe4 at its relaxed geometry.

Summary:
Final energy in eV/atom: -5.19
Raw formation energy in eV/atom: -1.875
N(E_F) in states/eV/f.u.: 3.56

```
data_Sr2NdTmSe4
_chemical_formula_sum 'Sr2 Nd1 Tm1 Se4'
_cell_length_a 7.3452
_cell_length_b 4.2308
_cell_length_c 7.4896
_cell_angle_alpha 90.00
_cell_angle_beta 108.98
_cell_angle_gamma 90.00
_space_group_name_H-M_alt 'P 1'
_space_group_IT_number 1
_space_group_name_Hall 'P 1'
loop_
_atom_site_label
_atom_site_type_symbol
_atom_site_fract_x
_atom_site_fract_y
_atom_site_fract_z
Sr1 Sr 0.0000 0.0000 0.0000
Sr2 Sr 0.5000 0.5000 0.0000
Nd1 Nd 0.0000 0.5000 0.5000
Tm1 Tm 0.5000 0.0000 0.5000
Se1 Se 0.2553 0.0000 0.7363
Se2 Se 0.2658 0.5000 0.2702
Se3 Se 0.7342 0.5000 0.7298
Se4 Se 0.7447 0.0000 0.2637
```

Entry 14:
DFT (PBE-GGA) results for crystalline EuPdAu2 at its relaxed geometry.

Summary:
Final energy in eV/atom: -5.97
DFT formation energy in meV per atom: -461
Relative energy among the computed polymorphs in meV/atom: 66.4
N(E_F) in states/eV/f.u.: 14.66

```
data_EuPdAu2
_chemical_formula_sum 'Eu1 Pd1 Au2'
_cell_length_a 3.8016
_cell_length_b 3.8016
_cell_length_c 5.8045
_cell_angle_alpha 90.00
_cell_angle_beta 90.00
_cell_angle_gamma 90.00
_space_group_name_H-M_alt 'P 1'
_space_group_IT_number 1
_space_group_name_Hall 'P 1'
loop_
_atom_site_label
_atom_site_type_symbol
_atom_site_fract_x
_atom_site_fract_y
_atom_site_fract_z
Eu1 Eu 0.0000 0.0000 0.0000
Pd1 Pd 0.0000 0.0000 0.5000
Au1 Au 0.5000 0.5000 0.2643
Au2 Au 0.5000 0.5000 0.7357
```